RbLiZn2 | GGA-PBEsol | relaxed

a = 7.5902 Å, b = 7.5902 Å, c = 7.5902 Å
α = 90.00°, β = 90.00°, γ = 90.00°
Space group Fm-3m (No. 225)
One atom of each set of equivalent atoms:
Rb 0.0000 0.0000 0.0000
Li 0.0000 0.0000 0.5000
Zn 0.2500 0.2500 0.2500

E	-18.89	eV for the cell shown
distance to the lowest polymorph of the same formula	0.127	eV/atom